(1)
DFT (GGA-PBE) results for a geometry-optimized AlTl2CuS4 structure.

abc: 6.7443 6.7460 6.3027
angles: 122.36 122.35 90.00
With the nearest neighbours (Å) after each atom.
Sites, in units of the cell vectors:
S 0.3609 0.8063 0.2713  1 Al 2.27, 1 Cu 2.33
S 0.9104 0.4649 0.2713  1 Al 2.27, 1 Cu 2.33
S 0.6655 0.5615 0.6723  1 Al 2.27, 1 Cu 2.33
S 0.0067 0.1108 0.6722  1 Al 2.27, 1 Cu 2.33
Cu 0.7354 0.7354 0.4708  4 S 2.33
Al 0.9859 0.4859 0.9718  4 S 2.27
Tl 0.4859 0.9860 0.9719  8 S 3.14-3.46
Tl 0.2363 0.2363 0.4725  4 S 2.81-2.82

Properties
Electronic total energy in eV/cell: -32.73
Fermi-level density of states in states/eV/cell: 2.2

=====

(2)
DFT (GGA-PBE) results for a geometry-optimized Li2LaTbTe4 structure.

abc: 4.4586 7.7250 7.5150
angles: 109.93 90.00 90.00
With the nearest neighbours (Å) after each atom.
Sites, in units of the cell vectors:
Te 0.5000 0.7367 0.7378  3 Li 3.05-3.13, 1 Tb 3.11, 2 La 3.20
Te 0.0000 0.7432 0.2575  3 Li 3.03-3.12, 2 Tb 3.12, 1 La 3.21
Te 0.0000 0.2568 0.7425  3 Li 3.03-3.12, 2 Tb 3.12, 1 La 3.21
Te 0.5000 0.2633 0.2622  3 Li 3.05-3.13, 1 Tb 3.11, 2 La 3.20
La 0.0000 0.0000 0.0000  6 Te 3.20-3.21
Li 0.0000 0.5000 0.5000  6 Te 3.03-3.05
Li 0.5000 0.0000 0.5000  6 Te 3.12-3.13
Tb 0.5000 0.5000 0.0000  6 Te 3.11-3.12

Properties
Electronic total energy in eV/cell: -36.58

=====

(3)
DFT (GGA-PBE) results for a geometry-optimized Pm3PtC structure.

abc: 4.9526 4.9526 4.9526
angles: 90.00 90.00 90.00
With the nearest neighbours (Å) after each atom.
Sites, in units of the cell vectors:
C 0.0000 0.0000 0.0000  6 Pm 2.48
Pm 0.5000 0.0000 0.0000  2 C 2.48
Pm 0.0000 0.5000 0.0000  2 C 2.48
Pm 0.0000 0.0000 0.5000  2 C 2.48
Pt 0.5000 0.5000 0.5000  12 Pm 3.50

Properties
Formation enthalpy at 0 K in eV per atom: -0.2826
Fermi-level density of states in states/eV/cell: 4.5

=====

(4)
DFT (GGA-PBE) results for a geometry-optimized Ba2TlAs structure.

abc: 9.2243 9.2243 7.6256
angles: 52.78 52.78 90.00
With the nearest neighbours (Å) after each atom.
Sites, in units of the cell vectors:
Ba 0.1690 0.6250 0.2500  2 As 3.15
Ba 0.8750 0.8310 0.7500  2 As 3.15
Ba 0.3750 0.4190 0.7500  2 As 3.15
Ba 0.5810 0.1250 0.2500  2 As 3.15
As 0.2500 0.7500 0.5000  4 Ba 3.15
As 0.5000 0.5000 0.0000  4 Ba 3.15
Tl 0.7500 0.2500 0.5000  4 Ba 3.69, 2 As 3.95
Tl 0.0000 0.0000 0.0000  4 Ba 3.69, 2 As 3.95

Properties
Formation enthalpy at 0 K in eV per atom: -0.4769
Fermi-level density of states in states/eV/cell: 2.3

=====

(5)
DFT (GGA-PBE) results for a geometry-optimized ThBeOs structure.

abc: 4.0424 4.0432 11.9480
angles: 90.00 90.00 119.99
With the nearest neighbours (Å) after each atom.
Sites, in units of the cell vectors:
Be 0.1613 0.3226 0.1661  3 Os 2.33
Be 0.1613 0.3226 0.8339  3 Os 2.33
Be 0.8279 0.6559 0.5000  3 Os 2.33
Th 0.4947 0.9895 0.0000  6 Be 3.06, 6 Os 3.08
Th 0.4947 0.9895 0.6659  6 Be 3.06-3.08, 6 Os 3.06
Th 0.4948 0.9895 0.3341  6 Be 3.06-3.08, 6 Os 3.06
Os 0.8281 0.6562 0.8318  3 Be 2.33
Os 0.8281 0.6562 0.1682  3 Be 2.33
Os 0.1613 0.3226 0.5000  3 Be 2.33

Properties
Formation enthalpy at 0 K in eV per atom: -0.2945
Fermi-level density of states in states/eV/cell: 5.8

=====

(6)
DFT (GGA-PBE) results for a geometry-optimized La5Pu3S8 structure.

abc: 8.1551 8.1551 8.1933
angles: 60.15 60.15 60.00
With the nearest neighbours (Å) after each atom.
Sites, in units of the cell vectors:
S 0.2499 0.7602 0.7400  2 Pu 2.83, 4 La 2.89-2.95
S 0.2398 0.7501 0.2600  2 Pu 2.83, 4 La 2.89-2.95
S 0.7552 0.7552 0.7343  3 Pu 2.83, 3 La 2.95
S 0.7501 0.2398 0.2600  2 Pu 2.83, 4 La 2.89-2.95
S 0.2499 0.2499 0.7400  2 Pu 2.83, 4 La 2.89-2.95
S 0.2448 0.2448 0.2657  3 Pu 2.83, 3 La 2.95
S 0.7501 0.7501 0.2600  2 Pu 2.83, 4 La 2.89-2.95
S 0.7602 0.2499 0.7400  2 Pu 2.83, 4 La 2.89-2.95
Pu 0.5000 0.0000 0.5000  6 S 2.83
Pu 0.0000 0.0000 0.5000  6 S 2.83
Pu 0.0000 0.5000 0.5000  6 S 2.83
La 0.5000 0.5000 0.5000  6 S 2.89
La 0.5000 0.0000 0.0000  6 S 2.95
La 0.0000 0.5000 0.0000  6 S 2.95
La 0.0000 0.0000 0.0000  6 S 2.89
La 0.5000 0.5000 0.0000  6 S 2.95

Properties
Electronic total energy in eV/cell: -132.83
Fermi-level density of states in states/eV/cell: 26.4